This record from the Alexandria database describes Li2YHfCo after structural relaxation. The functional is PBE.

The value obtained for the total energy is -4.741 eV per atom. The total magnetic moment is 0.000 μB/f.u. Its formation energy is 729 meV per atom.

Cell: 4.963 4.447 4.963 Å, 90.00 90.00 90.00°
Sites, in units of the cell vectors:
Li: 0.500 0.000 0.000
Li: 0.000 0.000 0.500
Hf: 0.000 0.000 0.000
Y: 0.500 0.500 0.500
Co: 0.000 0.500 0.000

=====

This record from the Alexandria database describes SiHg2As after structural relaxation. The functional is PBE.

The energy relative to the elements, uncorrected is 284 meV/atom. The value obtained for the total energy is -2.386 eV per atom. Its distance to the lowest polymorph of the same formula is 183 meV/atom. The total magnetic moment is 0.000 μB/f.u.

Cell: 6.588 6.588 6.588 Å, 148.25 142.16 50.21°
Sites, in units of the cell vectors:
Hg: 0.710 0.210 0.500
Hg: 0.025 0.025 0.000
Si: 0.453 0.453 0.000
As: 0.313 0.813 0.500

=====

This record from the Alexandria database describes NpAl2Au2 after structural relaxation. The functional is PBE.

The value obtained for the total energy is -5.727 eV per atom. Its distance to the lowest polymorph of the same formula is 0 meV/atom. The total magnetic moment is 4.300 μB/f.u. Its formation energy is -331 meV per atom.

Cell: 4.357 4.357 10.573 Å, 90.00 90.00 90.00°
Site moments in Bohr magnetons follow the coordinates.
Sites, in units of the cell vectors:
Au: 0.500 0.500 0.000  0.01
Au: 0.500 0.000 0.632  0.01
Au: 0.000 0.500 0.368  0.01
Au: 0.000 0.000 0.000  0.01
Al: 0.500 0.500 0.500  -0.01
Al: 0.000 0.000 0.500  -0.01
Al: 0.500 0.000 0.867  -0.01
Al: 0.000 0.500 0.133  -0.01
Np: 0.500 0.000 0.248  3.98
Np: 0.000 0.500 0.752  3.98

=====

This record from the Alexandria database describes La2AlAgOs after structural relaxation. The functional is PBE.

The value obtained for the total energy is -5.689 eV per atom. The total magnetic moment is 0.000 μB/f.u. Its formation energy is -153 meV per atom.

Cell: 5.526 5.526 4.844 Å, 90.00 90.00 90.00°
Sites, in units of the cell vectors:
La: 0.000 0.500 0.000
La: 0.500 0.000 0.000
Os: 0.000 0.000 0.000
Ag: 0.500 0.500 0.500
Al: 0.000 0.000 0.500